Material: PmAlPt2
Method: DFT, GGA-PBE
State: relaxed

```
PmAlPt2
1.0
-6.157 1.190 -3.972
2.022 -5.000 -4.630
-2.802 -4.035 3.134
Al Pm Pt
4 4 8
direct
0.617 0.750 0.147
0.117 0.750 0.353
0.883 0.250 0.647
0.383 0.250 0.853
0.028 0.250 0.148
0.528 0.250 0.352
0.472 0.750 0.648
0.972 0.750 0.852
0.319 0.553 0.087
0.319 0.947 0.087
0.819 0.553 0.413
0.819 0.947 0.413
0.181 0.053 0.587
0.181 0.447 0.587
0.681 0.053 0.913
0.681 0.447 0.913
```

Summary:
- total moment (μB per formula unit) = 0.01
- energy (eV per atom) = -6.2761